Ba2SnCl after structural relaxation. Source: Alexandria via LeMat-Bulk, functional PBE.

Formation energy (no corrections) in kJ/mol of atoms: -103.0
Energy above the most stable polymorph in this dataset in kcal/mol of atoms: 3.33
Final energy in eV/atom: -3.49
Total magnetic moment in μB per formula unit: 1.0

```
data_Ba2SnCl
_space_group_name_H-M_alt 'F m -3 m'
_space_group_IT_number 225
_space_group_name_Hall '-F 4 2 3'
_cell_length_a 8.429
_cell_length_b 8.429
_cell_length_c 8.429
_cell_angle_alpha 90.00
_cell_angle_beta 90.00
_cell_angle_gamma 90.00
loop_
_atom_site_label
_atom_site_fract_x
_atom_site_fract_y
_atom_site_fract_z
Ba1 0.250 0.250 0.250
Sn1 0.000 0.000 0.000
Cl1 0.000 0.000 0.500
```


NbIrSN2 after structural relaxation. Source: Alexandria via LeMat-Bulk, functional PBE.

Formation energy (no corrections) in kJ/mol of atoms: 87.9
Energy above the most stable polymorph in this dataset in kcal/mol of atoms: 0.00
Final energy in eV/atom: -7.03
Total magnetic moment in μB per formula unit: 2.3

```
data_NbIrSN2
_space_group_name_H-M_alt 'P 4/m m m'
_space_group_IT_number 123
_space_group_name_Hall '-P 4 2'
_cell_length_a 3.750
_cell_length_b 3.750
_cell_length_c 5.457
_cell_angle_alpha 90.00
_cell_angle_beta 90.00
_cell_angle_gamma 90.00
loop_
_atom_site_label
_atom_site_fract_x
_atom_site_fract_y
_atom_site_fract_z
Nb1 0.000 0.000 0.000
Ir1 0.500 0.500 0.500
S1 0.500 0.500 0.000
N1 0.000 0.500 0.500
```


Hf3TaFe after structural relaxation. Source: Alexandria via LeMat-Bulk, functional PBE.

Formation enthalpy at 0 K in eV/atom: 1.656
Energy above the most stable polymorph in this dataset in kcal/mol of atoms: 26.69
Final energy in eV/atom: -8.38
Total magnetic moment in μB per formula unit: 0.0

```
data_Hf3TaFe
_space_group_name_H-M_alt 'P m -3 m'
_space_group_IT_number 221
_space_group_name_Hall '-P 4 2 3'
_cell_length_a 5.014
_cell_length_b 5.014
_cell_length_c 5.014
_cell_angle_alpha 90.00
_cell_angle_beta 90.00
_cell_angle_gamma 90.00
loop_
_atom_site_label
_atom_site_fract_x
_atom_site_fract_y
_atom_site_fract_z
Hf1 0.000 0.000 0.500
Ta1 0.000 0.000 0.000
Fe1 0.500 0.500 0.500
```


Sc3TcW after structural relaxation. Source: Alexandria via LeMat-Bulk, functional PBE.

Formation enthalpy at 0 K in eV/atom: 0.900
Energy above the most stable polymorph in this dataset in kcal/mol of atoms: 0.00
Final energy in eV/atom: -7.56
Total magnetic moment in μB per formula unit: 2.2

```
data_Sc3TcW
_space_group_name_H-M_alt 'P m -3 m'
_space_group_IT_number 221
_space_group_name_Hall '-P 4 2 3'
_cell_length_a 4.852
_cell_length_b 4.852
_cell_length_c 4.852
_cell_angle_alpha 90.00
_cell_angle_beta 90.00
_cell_angle_gamma 90.00
loop_
_atom_site_label
_atom_site_fract_x
_atom_site_fract_y
_atom_site_fract_z
Sc1 0.000 0.000 0.500
Tc1 0.000 0.000 0.000
W1 0.500 0.500 0.500
```